# 1
A relaxed TeMo2Br crystal. Source: the Alexandria database, functional PBE-GGA.

## Properties
Relative energy among the computed polymorphs (eV per atom): 0.166
ΔE_f (raw) (eV per atom): 0.337

a = 3.223 Å, b = 3.228 Å, c = 18.526 Å
α = 90.00°, β = 90.00°, γ = 90.00°
Space group Imm2 (No. 44)
One atom of each set of equivalent atoms:
Te 0.000 0.000 0.000
Mo 0.000 0.000 0.408
Mo 0.000 0.500 0.804
Br 0.000 0.500 0.214



# 2
A relaxed TiAsN2O crystal. Source: the Alexandria database, functional PBE-GGA.

## Properties
ΔE_f (raw) (eV per atom): 0.156

a = 3.756 Å, b = 3.756 Å, c = 3.653 Å
α = 90.00°, β = 90.00°, γ = 90.00°
Space group P4/mmm (No. 123)
One atom of each set of equivalent atoms:
Ti 0.000 0.000 0.000
As 0.500 0.500 0.500
N 0.000 0.500 0.500
O 0.500 0.500 0.000



# 3
A relaxed BeOF2 crystal. Source: the Alexandria database, functional PBE-GGA.

## Properties
Relative energy among the computed polymorphs (eV per atom): 1.290
ΔE_f (raw) (eV per atom): -0.402

a = 5.159 Å, b = 5.159 Å, c = 5.159 Å
α = 90.00°, β = 90.00°, γ = 90.00°
Space group Fm-3m (No. 225)
One atom of each set of equivalent atoms:
Be 0.000 0.000 0.000
O 0.000 0.000 0.500
F 0.250 0.250 0.250



# 4
A relaxed Sc2MoBr crystal. Source: the Alexandria database, functional PBE-GGA.

## Properties
Relative energy among the computed polymorphs (eV per atom): 0.400
ΔE_f (raw) (eV per atom): 0.032

a = 3.258 Å, b = 4.554 Å, c = 11.142 Å
α = 90.00°, β = 90.00°, γ = 90.00°
Space group Imm2 (No. 44)
One atom of each set of equivalent atoms:
Sc 0.000 0.000 0.000
Sc 0.000 0.500 0.219
Mo 0.000 0.000 0.501
Br 0.000 0.500 0.807